Record 1
Co2ReAg | GGA-PBE | relaxed

Lattice parameters (Å, degrees): 4.8009 4.8009 4.5350 74.94 74.94 32.02
Last column: nearest neighbours and their distance in Å.
Atoms (fractional coordinates):
1 Co 0.0227 0.0227 0.0157  4 Co 2.44-2.65, 3 Ag 2.58-2.68, 4 Re 2.59-2.71
2 Co 0.7343 0.7343 0.7207  4 Co 2.44-2.65, 3 Re 2.57-2.64, 4 Ag 2.62-2.65
3 Re 0.4814 0.4814 0.5539  7 Co 2.57-2.71, 2 Re 2.65, 1 Ag 2.87
4 Ag 0.2616 0.2616 0.2097  7 Co 2.58-2.68, 2 Ag 2.65, 1 Re 2.87

Magnetization = 2.07 Bohr magnetons per cell
Crystal system = monoclinic
Calculated density = 12.819 Mg/m³
Excess energy over the best structure of this formula in the dataset = 0.1811 eV per atom

---

Record 2
Ta2CoReAg | GGA-PBE | relaxed

Lattice parameters (Å, degrees): 4.4633 4.5401 4.4633 90.00 90.00 90.00
Last column: nearest neighbours and their distance in Å.
Atoms (fractional coordinates):
1 Re 0.5000 0.5000 0.5000  4 Ag 3.16, 8 Ta 3.18
2 Co 0.0000 0.0000 0.0000  4 Ta 2.23, 2 Ag 2.27
3 Ta 0.0000 0.0000 0.5000  2 Co 2.23
4 Ta 0.5000 0.0000 0.0000  2 Co 2.23
5 Ag 0.0000 0.5000 0.0000  2 Co 2.27

Magnetization = 0.00 Bohr magnetons per cell
Crystal system = tetragonal
Calculated density = 13.126 Mg/m³
DFT total energy = -8.0193 eV per atom

---

Record 3
CoReTcAg2 | GGA-PBE | relaxed

Lattice parameters (Å, degrees): 5.0222 5.0222 4.5621 90.00 90.00 90.00
Last column: nearest neighbours and their distance in Å.
Atoms (fractional coordinates):
1 Re 0.0000 0.0000 0.5000  2 Tc 2.28
2 Tc 0.0000 0.0000 0.0000  2 Re 2.28, 4 Ag 2.51
3 Co 0.5000 0.5000 0.5000  8 Ag 3.39, 4 Re 3.55
4 Ag 0.0000 0.5000 0.0000  2 Tc 2.51
5 Ag 0.5000 0.0000 0.0000  2 Tc 2.51

Magnetization = 2.98 Bohr magnetons per cell
Crystal system = tetragonal
Calculated density = 8.065 Mg/m³
Excess energy over the best structure of this formula in the dataset = 0.2385 eV per atom

---

Record 4
CoReTcAg2 | GGA-PBE | relaxed

Lattice parameters (Å, degrees): 4.5792 4.2349 4.5792 90.00 90.00 90.00
Last column: nearest neighbours and their distance in Å.
Atoms (fractional coordinates):
1 Ag 0.5000 0.0000 0.0000  2 Co 2.29
2 Ag 0.0000 0.0000 0.5000  2 Co 2.29
3 Re 0.5000 0.5000 0.5000  8 Ag 3.12, 4 Tc 3.24
4 Co 0.0000 0.0000 0.0000  2 Tc 2.12, 4 Ag 2.29
5 Tc 0.0000 0.5000 0.0000  2 Co 2.12

Magnetization = 0.00 Bohr magnetons per cell
Crystal system = tetragonal
Calculated density = 10.451 Mg/m³
Excess energy over the best structure of this formula in the dataset = 0.0000 eV per atom

---

Record 5
VCoRe2Ag | GGA-PBE | relaxed

Lattice parameters (Å, degrees): 4.4236 4.7408 4.4236 90.00 90.00 90.00
Last column: nearest neighbours and their distance in Å.
Atoms (fractional coordinates):
1 Re 0.0000 0.0000 0.5000  2 V 2.21
2 Re 0.5000 0.0000 0.0000  2 V 2.21
3 Ag 0.0000 0.5000 0.0000  2 V 2.37
4 V 0.0000 0.0000 0.0000  4 Re 2.21, 2 Ag 2.37
5 Co 0.5000 0.5000 0.5000  4 Ag 3.13, 8 Re 3.24

Magnetization = 0.42 Bohr magnetons per cell
Crystal system = tetragonal
Calculated density = 10.564 Mg/m³
DFT total energy = -6.8173 eV per atom

---

Record 6
ZrCoReAg2 | GGA-PBE | relaxed

Lattice parameters (Å, degrees): 4.9893 4.2609 4.9893 90.00 90.00 90.00
Last column: nearest neighbours and their distance in Å.
Atoms (fractional coordinates):
1 Ag 0.0000 0.0000 0.5000  2 Zr 2.49
2 Ag 0.5000 0.0000 0.0000  2 Zr 2.49
3 Zr 0.0000 0.0000 0.0000  2 Co 2.13
4 Co 0.0000 0.5000 0.0000  2 Zr 2.13
5 Re 0.5000 0.5000 0.5000  8 Ag 3.28, 4 Co 3.53

Magnetization = 0.00 Bohr magnetons per cell
Crystal system = tetragonal
Calculated density = 8.643 Mg/m³
DFT total energy = -4.6211 eV per atom

---

Record 7
CoAgRh2 | GGA-PBE | relaxed

Lattice parameters (Å, degrees): 4.7334 4.7334 2.7372 90.00 90.00 109.14
Last column: nearest neighbours and their distance in Å.
Atoms (fractional coordinates):
1 Co 0.0000 0.5000 0.5000  8 Rh 2.73, 2 Co 2.74, 2 Ag 2.74
2 Ag 0.5000 0.0000 0.5000  8 Rh 2.73, 2 Ag 2.74, 2 Co 2.74
3 Rh 0.0000 0.0000 0.0000  4 Ag 2.73, 4 Co 2.73, 4 Rh 2.74
4 Rh 0.5000 0.5000 0.0000  4 Co 2.73, 4 Ag 2.73, 4 Rh 2.74

Magnetization = 3.65 Bohr magnetons per cell
Crystal system = orthorhombic
Calculated density = 10.680 Mg/m³
Excess energy over the best structure of this formula in the dataset = 0.1788 eV per atom

---

Record 8
CoAg2Rh | GGA-PBE | relaxed

Lattice parameters (Å, degrees): 9.4446 9.4446 9.4446 16.75 16.75 16.75
Last column: nearest neighbours and their distance in Å.
Atoms (fractional coordinates):
1 Ag 0.9973 0.9973 0.9973  6 Ag 2.75, 3 Co 2.76, 3 Rh 2.88
2 Ag 0.5027 0.5027 0.5027  6 Ag 2.75, 3 Co 2.76, 3 Rh 2.88
3 Co 0.2500 0.2500 0.2500  6 Co 2.75, 6 Ag 2.76
4 Rh 0.7500 0.7500 0.7500  6 Rh 2.75, 6 Ag 2.88

Magnetization = 2.24 Bohr magnetons per cell
Crystal system = trigonal
Calculated density = 10.271 Mg/m³
Excess energy over the best structure of this formula in the dataset = 0.1745 eV per atom